## La5Co3 (PBE-GGA)

Data for crystalline La5Co3 at its relaxed geometry.

```
La5Co3
1.0
10.128 0.178 0.497
-7.176 5.680 0.284
-0.944 -2.043 6.878
La Co
10 6
direct
0.876 0.131 0.806
0.635 0.301 0.907
0.461 0.496 0.740
0.123 0.869 0.194
0.979 0.146 0.300
0.725 0.274 0.433
0.020 0.854 0.700
0.274 0.726 0.567
0.365 0.699 0.093
0.538 0.504 0.260
0.816 0.778 0.993
0.988 0.455 0.174
0.012 0.545 0.825
0.597 0.846 0.460
0.183 0.222 0.007
0.402 0.154 0.540
```

* energy above the most stable polymorph in this dataset: 0 meV/atom
* total energy: -5.86 eV per atom
* crystal system: triclinic
* magnetic moment: 0.00 μB per atom
* mass density: 6.89 g/cm³
* E_form: -0.11 eV per atom
* DOS at the Fermi energy: 0.86 states/eV/atom